Computed, not measured: a crystal of BiRu3Se relaxed with PBEsol at the SCAN level of DFT.

Cell lengths 4.5417, 4.5417, 4.5417 Å; angles 90.00, 90.00, 90.00 degrees
Closest atoms and distances in Å follow each position.
Space group Pm-3m (No. 221)
Asymmetric unit:
Bi 0.0000 0.0000 0.0000  12 Ru 3.21
Ru 0.0000 0.5000 0.5000  2 Se 2.27
Se 0.5000 0.5000 0.5000  6 Ru 2.27

E_form (uncorrected) ... 4.67 eV per formula unit
V ... 18.7 A^3/atom
Crystal system ... cubic
Total moment ... 0.00 μB per atom
Final energy ... -198.47 eV/f.u.